1.
VASP calculation (PBE) on a relaxed structure of Y2TmCu6.

Values from the calculation:
Symmetry: P6/mmm (191)
N(E_F), states/eV/atom: 0.59
Magnetization, μB/f.u.: 0.000
VASP energy, eV/atom: -4.92
Calculated volume, Å³/atom: 18.33
E_form, eV per atom: -0.2555
Mass density, Mg/m³: 7.33

a = 7.307 Å, b = 7.307 Å, c = 3.568 Å
α = 90.00°, β = 90.00°, γ = 120.00°
Fractional positions:
Y 0.333 0.667 0.000
Y 0.667 0.333 0.000
Tm 0.000 0.000 0.000
Cu 0.000 0.332 0.500
Cu 0.000 0.668 0.500
Cu 0.332 0.000 0.500
Cu 0.332 0.332 0.500
Cu 0.668 0.000 0.500
Cu 0.668 0.668 0.500

---

2.
VASP calculation (PBE) on a relaxed structure of Be2InFe.

Values from the calculation:
Symmetry: F-43m (216)
N(E_F), states/eV/atom: 0.86
Magnetization, μB/f.u.: 1.817
VASP energy, eV/atom: -4.21
Calculated volume, Å³/atom: 12.70
E_form, eV per atom: 0.4497
Mass density, Mg/m³: 6.17

a = 4.157 Å, b = 4.157 Å, c = 4.157 Å
α = 60.00°, β = 60.00°, γ = 60.00°
Fractional positions:
Be 0.000 0.000 0.000
Be 0.250 0.250 0.250
In 0.750 0.750 0.750
Fe 0.500 0.500 0.500

---

3.
VASP calculation (PBE) on a relaxed structure of LiSi2Se.

Values from the calculation:
Symmetry: P4mm (99)
N(E_F), states/eV/atom: 0.33
Magnetization, μB/f.u.: 0.000
VASP energy, eV/atom: -4.02
Calculated volume, Å³/atom: 18.49
Mass density, Mg/m³: 3.19
ΔE_f (raw), eV per formula unit: 0.2

a = 2.804 Å, b = 2.804 Å, c = 9.402 Å
α = 90.00°, β = 90.00°, γ = 90.00°
Fractional positions:
Li 0.000 0.000 0.000
Si 0.000 0.000 0.581
Si 0.500 0.500 0.765
Se 0.500 0.500 0.196

---

4.
VASP calculation (PBE) on a relaxed structure of SrZnGe3.

Values from the calculation:
Symmetry: Pm-3m (221)
N(E_F), states/eV/atom: 1.64
Magnetization, μB/f.u.: 0.772
VASP energy, eV/atom: -2.10
Calculated volume, Å³/atom: 37.87
E_form, eV per atom: 1.2620
Mass density, Mg/m³: 3.25

a = 5.742 Å, b = 5.742 Å, c = 5.742 Å
α = 90.00°, β = 90.00°, γ = 90.00°
Fractional positions:
Sr 0.000 0.000 0.000
Zn 0.500 0.500 0.500
Ge 0.000 0.000 0.500
Ge 0.000 0.500 0.000
Ge 0.500 0.000 0.000

---

5.
VASP calculation (PBE) on a relaxed structure of MnFeCl2.

Values from the calculation:
E above lowest polymorph, eV/atom: 0.4637
Symmetry: Pmmm (47)
N(E_F), states/eV/atom: 0.54
Magnetization, μB/f.u.: 7.129
VASP energy, eV/atom: -5.23
Calculated volume, Å³/atom: 17.78
Mass density, Mg/m³: 4.24
ΔE_f (raw), eV per formula unit: 0.4

a = 3.063 Å, b = 3.942 Å, c = 5.889 Å
α = 90.00°, β = 90.00°, γ = 90.00°
Fractional positions:
Mn 0.000 0.000 0.000
Fe 0.500 0.000 0.500
Cl 0.000 0.500 0.500
Cl 0.500 0.500 0.000

---

6.
VASP calculation (PBE) on a relaxed structure of Er5Sc5Sb6.

Values from the calculation:
Symmetry: Amm2 (38)
N(E_F), states/eV/atom: 0.91
Magnetization, μB/f.u.: 1.563
VASP energy, eV/atom: -5.84
Calculated volume, Å³/atom: 24.73
Mass density, Mg/m³: 7.52
ΔE_f (raw), eV per formula unit: -14.3

a = 6.046 Å, b = 8.670 Å, c = 8.670 Å
α = 119.47°, β = 90.00°, γ = 90.00°
Fractional positions:
Er 0.000 0.000 0.000
Er 0.000 0.249 0.491
Er 0.000 0.491 0.249
Er 0.500 0.004 0.248
Er 0.500 0.248 0.004
Sc 0.250 0.581 0.916
Sc 0.250 0.916 0.581
Sc 0.500 0.499 0.499
Sc 0.750 0.581 0.916
Sc 0.750 0.916 0.581
Sb 0.000 0.249 0.853
Sb 0.000 0.642 0.642
Sb 0.000 0.853 0.249
Sb 0.500 0.253 0.640
Sb 0.500 0.640 0.253
Sb 0.500 0.851 0.851

---

7.
VASP calculation (PBE) on a relaxed structure of CsAcOs2O8.

Values from the calculation:
Symmetry: P-3 (147)
N(E_F), states/eV/atom: 0.05
Magnetization, μB/f.u.: 4.008
VASP energy, eV/atom: -7.15
Calculated volume, Å³/atom: 24.53
Mass density, Mg/m³: 4.90
ΔE_f (raw), eV per formula unit: -18.8

a = 6.243 Å, b = 6.243 Å, c = 8.721 Å
α = 90.00°, β = 90.00°, γ = 120.00°
Fractional positions:
Cs 0.000 0.000 0.000
Ac 0.000 0.000 0.500
Os 0.333 0.667 0.757
Os 0.667 0.333 0.243
O 0.172 0.353 0.681
O 0.180 0.828 0.681
O 0.333 0.667 0.960
O 0.353 0.180 0.319
O 0.647 0.820 0.681
O 0.667 0.333 0.040
O 0.820 0.172 0.319
O 0.828 0.647 0.319

---

8.
VASP calculation (PBE) on a relaxed structure of MgCd2P.

Values from the calculation:
Symmetry: F-43m (216)
N(E_F), states/eV/atom: 0.65
Magnetization, μB/f.u.: 0.000
VASP energy, eV/atom: -2.07
Calculated volume, Å³/atom: 21.02
E_form, eV per atom: 0.1342
Mass density, Mg/m³: 5.53

a = 4.918 Å, b = 4.918 Å, c = 4.918 Å
α = 60.00°, β = 60.00°, γ = 60.00°
Fractional positions:
Mg 0.000 0.000 0.000
Cd 0.500 0.500 0.500
Cd 0.750 0.750 0.750
P 0.250 0.250 0.250